Record 1
VASP calculation (PBE) on a geometry-optimized PmMg2Ni structure.

Unit cell a=4.0953 b=8.2936 c=5.4535 alpha=90.00 beta=111.99 gamma=90.00
Fractional coordinates of all 8 atoms:
1 Mg 0.8478 0.4448 0.6959
2 Mg 0.1522 0.5552 0.3041
3 Mg 0.8478 0.0552 0.6959
4 Mg 0.1522 0.9448 0.3041
5 Pm 0.4384 0.7500 0.8758
6 Pm 0.5616 0.2500 0.1242
7 Ni 0.7308 0.7500 0.4619
8 Ni 0.2692 0.2500 0.5381

Calculated values
- space-group type = Cmcm (63)
- spin magnetization (Bohr magnetons per cell) = 0.00
- final energy (eV per atom) = -3.59

***

Record 2
VASP calculation (PBE) on a geometry-optimized Pr2Mg4NiPt structure.

Unit cell a=8.2492 b=5.5869 c=5.5869 alpha=44.60 beta=90.00 gamma=90.00
Fractional coordinates of all 8 atoms:
1 Mg 0.1990 0.3456 0.3456
2 Mg 0.3087 0.6537 0.6537
3 Mg 0.6913 0.6537 0.6537
4 Mg 0.8010 0.3456 0.3456
5 Pr 0.5000 0.9403 0.9403
6 Pr 0.0000 0.0617 0.0617
7 Pt 0.0000 0.7727 0.7727
8 Ni 0.5000 0.2268 0.2268

Calculated values
- space-group type = Amm2 (38)
- spin magnetization (Bohr magnetons per cell) = 0.00
- final energy (eV per atom) = -3.88

***

Record 3
VASP calculation (PBE) on a geometry-optimized MgTlNiPt structure.

Unit cell a=4.5446 b=4.5446 c=4.5446 alpha=60.00 beta=60.00 gamma=60.00
Fractional coordinates of all 4 atoms:
1 Ni 0.7500 0.7500 0.7500
2 Pt 0.2500 0.2500 0.2500
3 Mg 0.5000 0.5000 0.5000
4 Tl 0.0000 0.0000 0.0000

Calculated values
- space-group type = F-43m (216)
- spin magnetization (Bohr magnetons per cell) = 0.00
- final energy (eV per atom) = -4.07

***

Record 4
VASP calculation (PBE) on a geometry-optimized Mg2Zr2Zn2NiPt structure.

Unit cell a=4.5700 b=4.5700 c=6.4691 alpha=90.00 beta=90.00 gamma=90.00
Fractional coordinates of all 8 atoms:
1 Mg 0.5000 0.0000 0.7538
2 Mg 0.0000 0.5000 0.2462
3 Ni 0.5000 0.5000 0.0000
4 Zr 0.5000 0.0000 0.2423
5 Zr 0.0000 0.5000 0.7577
6 Zn 0.5000 0.5000 0.5000
7 Zn 0.0000 0.0000 0.0000
8 Pt 0.0000 0.0000 0.5000

Calculated values
- space-group type = P-4m2 (115)
- spin magnetization (Bohr magnetons per cell) = 0.00
- final energy (eV per atom) = -4.78

***

Record 5
VASP calculation (PBE) on a geometry-optimized PuMgNi structure.

Unit cell a=4.4283 b=4.4283 c=4.4283 alpha=60.00 beta=60.00 gamma=60.00
Last column: magnetic moment on the atom in μB.
Fractional coordinates of all 3 atoms:
1 Ni 0.2500 0.2500 0.2500  -0.13
2 Mg 0.0000 0.0000 0.0000  0.02
3 Pu 0.5000 0.5000 0.5000  5.23

Calculated values
- space-group type = F-43m (216)
- spin magnetization (Bohr magnetons per cell) = 5.61
- final energy (eV per atom) = -6.97

***

Record 6
VASP calculation (PBE) on a geometry-optimized RbMgNi structure.

Unit cell a=5.0872 b=5.0872 c=5.0872 alpha=60.00 beta=60.00 gamma=60.00
Fractional coordinates of all 3 atoms:
1 Rb 0.7500 0.7500 0.7500
2 Mg 0.2500 0.2500 0.2500
3 Ni 0.0000 0.0000 0.0000

Calculated values
- space-group type = F-43m (216)
- spin magnetization (Bohr magnetons per cell) = 0.30
- final energy (eV per atom) = -1.96

***

Record 7
VASP calculation (PBE) on a geometry-optimized RbMgNiSb structure.

Unit cell a=5.0672 b=5.0672 c=5.0672 alpha=60.00 beta=60.00 gamma=60.00
Fractional coordinates of all 4 atoms:
1 Ni 0.2500 0.2500 0.2500
2 Sb 0.0000 0.0000 0.0000
3 Rb 0.5000 0.5000 0.5000
4 Mg 0.7500 0.7500 0.7500

Calculated values
- space-group type = F-43m (216)
- spin magnetization (Bohr magnetons per cell) = 0.01
- final energy (eV per atom) = -2.72

***

Record 8
VASP calculation (PBE) on a geometry-optimized RbMgNiSb structure.

Unit cell a=5.1140 b=5.1140 c=5.1140 alpha=60.00 beta=60.00 gamma=60.00
Fractional coordinates of all 4 atoms:
1 Mg 0.7500 0.7500 0.7500
2 Rb 0.5000 0.5000 0.5000
3 Ni 0.0000 0.0000 0.0000
4 Sb 0.2500 0.2500 0.2500

Calculated values
- space-group type = F-43m (216)
- spin magnetization (Bohr magnetons per cell) = 0.00
- final energy (eV per atom) = -2.65

***

Record 9
VASP calculation (PBE) on a geometry-optimized RbMgNiSb structure.

Unit cell a=5.2618 b=5.2618 c=5.2618 alpha=60.00 beta=60.00 gamma=60.00
Fractional coordinates of all 4 atoms:
1 Mg 0.7500 0.7500 0.7500
2 Ni 0.5000 0.5000 0.5000
3 Sb 0.0000 0.0000 0.0000
4 Rb 0.2500 0.2500 0.2500

Calculated values
- space-group type = F-43m (216)
- spin magnetization (Bohr magnetons per cell) = 0.50
- final energy (eV per atom) = -2.59

***

Record 10
VASP calculation (PBE) on a geometry-optimized RbMgNiSe3 structure.

Unit cell a=8.1459 b=3.7557 c=10.8292 alpha=90.00 beta=109.47 gamma=90.00
Fractional coordinates of all 12 atoms:
1 Mg 0.4915 0.2500 0.3728
2 Mg 0.5085 0.7500 0.6272
3 Se 0.6280 0.2500 0.1275
4 Se 0.2930 0.2500 0.5238
5 Se 0.7378 0.7500 0.8691
6 Se 0.2622 0.2500 0.1309
7 Se 0.7070 0.7500 0.4762
8 Se 0.3720 0.7500 0.8725
9 Rb 0.0010 0.2500 0.7166
10 Rb 0.9990 0.7500 0.2834
11 Ni 0.5615 0.2500 0.8914
12 Ni 0.4385 0.7500 0.1086

Calculated values
- space-group type = P2_1/m (11)
- spin magnetization (Bohr magnetons per cell) = 0.01
- final energy (eV per atom) = -3.86

***

Record 11
VASP calculation (PBE) on a geometry-optimized RbMgTaNi structure.

Unit cell a=4.7981 b=4.7981 c=4.7981 alpha=60.00 beta=60.00 gamma=60.00
Fractional coordinates of all 4 atoms:
1 Mg 0.7500 0.7500 0.7500
2 Ni 0.0000 0.0000 0.0000
3 Rb 0.5000 0.5000 0.5000
4 Ta 0.2500 0.2500 0.2500

Calculated values
- space-group type = F-43m (216)
- spin magnetization (Bohr magnetons per cell) = 0.00
- final energy (eV per atom) = -3.73

***

Record 12
VASP calculation (PBE) on a geometry-optimized RbMgTaNi structure.

Unit cell a=4.9408 b=4.9408 c=4.9408 alpha=60.00 beta=60.00 gamma=60.00
Fractional coordinates of all 4 atoms:
1 Mg 0.7500 0.7500 0.7500
2 Rb 0.2500 0.2500 0.2500
3 Ta 0.0000 0.0000 0.0000
4 Ni 0.5000 0.5000 0.5000

Calculated values
- space-group type = F-43m (216)
- spin magnetization (Bohr magnetons per cell) = 0.01
- final energy (eV per atom) = -3.37

***

Record 13
VASP calculation (PBE) on a geometry-optimized RbMgTaNi structure.

Unit cell a=4.9833 b=4.9833 c=4.9833 alpha=60.00 beta=60.00 gamma=60.00
Fractional coordinates of all 4 atoms:
1 Ni 0.2500 0.2500 0.2500
2 Rb 0.5000 0.5000 0.5000
3 Mg 0.7500 0.7500 0.7500
4 Ta 0.0000 0.0000 0.0000

Calculated values
- space-group type = F-43m (216)
- spin magnetization (Bohr magnetons per cell) = 0.01
- final energy (eV per atom) = -3.63

***

Record 14
VASP calculation (PBE) on a geometry-optimized Mg2ReNi2 structure.

Unit cell a=6.5558 b=6.5558 c=5.3386 alpha=90.00 beta=90.00 gamma=141.66
Fractional coordinates of all 10 atoms:
1 Mg 0.3828 0.6171 0.8617
2 Mg 0.6171 0.3828 0.8617
3 Mg 0.6173 0.3827 0.3617
4 Mg 0.3827 0.6173 0.3617
5 Ni 0.1920 0.8047 0.1107
6 Ni 0.8047 0.1920 0.1107
7 Ni 0.8080 0.1952 0.6112
8 Ni 0.1952 0.8080 0.6112
9 Re 0.9998 0.9998 0.1128
10 Re 0.0002 0.0002 0.6127

Calculated values
- space-group type = Cmc2_1 (36)
- spin magnetization (Bohr magnetons per cell) = 0.01
- final energy (eV per atom) = -5.20

***

Record 15
VASP calculation (PBE) on a geometry-optimized MgReNiSn structure.

Unit cell a=4.4839 b=4.4839 c=4.4839 alpha=60.00 beta=60.00 gamma=60.00
Fractional coordinates of all 4 atoms:
1 Re 0.5000 0.5000 0.5000
2 Sn 0.0000 0.0000 0.0000
3 Mg 0.2500 0.2500 0.2500
4 Ni 0.7500 0.7500 0.7500

Calculated values
- space-group type = F-43m (216)
- spin magnetization (Bohr magnetons per cell) = 0.65
- final energy (eV per atom) = -5.34

***

Record 16
VASP calculation (PBE) on a geometry-optimized Mg2NiS4 structure.

Unit cell a=6.0610 b=6.0610 c=6.3882 alpha=115.95 beta=115.95 gamma=35.36
Fractional coordinates of all 7 atoms:
1 S 0.0965 0.0965 0.3977
2 S 0.3644 0.3644 0.0005
3 S 0.6356 0.6356 0.9995
4 S 0.9035 0.9035 0.6023
5 Mg 0.7025 0.7025 0.6733
6 Mg 0.2975 0.2975 0.3267
7 Ni 0.0000 0.0000 0.0000

Calculated values
- space-group type = C2/m (12)
- spin magnetization (Bohr magnetons per cell) = 0.01
- final energy (eV per atom) = -4.27

***

Record 17
VASP calculation (PBE) on a geometry-optimized MgScNiSb structure.

Unit cell a=4.7239 b=4.7239 c=4.7239 alpha=60.00 beta=60.00 gamma=60.00
Fractional coordinates of all 4 atoms:
1 Ni 0.7500 0.7500 0.7500
2 Mg 0.5000 0.5000 0.5000
3 Sb 0.0000 0.0000 0.0000
4 Sc 0.2500 0.2500 0.2500

Calculated values
- space-group type = F-43m (216)
- spin magnetization (Bohr magnetons per cell) = 0.00
- final energy (eV per atom) = -4.57

***

Record 18
VASP calculation (PBE) on a geometry-optimized MgScNiSb structure.

Unit cell a=4.7451 b=4.7451 c=4.7451 alpha=60.00 beta=60.00 gamma=60.00
Fractional coordinates of all 4 atoms:
1 Ni 0.7500 0.7500 0.7500
2 Sc 0.5000 0.5000 0.5000
3 Mg 0.0000 0.0000 0.0000
4 Sb 0.2500 0.2500 0.2500

Calculated values
- space-group type = F-43m (216)
- spin magnetization (Bohr magnetons per cell) = 0.00
- final energy (eV per atom) = -4.70

***

Record 19
VASP calculation (PBE) on a geometry-optimized MgScNiSb structure.

Unit cell a=4.7156 b=4.7156 c=4.7156 alpha=60.00 beta=60.00 gamma=60.00
Fractional coordinates of all 4 atoms:
1 Mg 0.0000 0.0000 0.0000
2 Ni 0.5000 0.5000 0.5000
3 Sc 0.7500 0.7500 0.7500
4 Sb 0.2500 0.2500 0.2500

Calculated values
- space-group type = F-43m (216)
- spin magnetization (Bohr magnetons per cell) = 0.00
- final energy (eV per atom) = -4.55

***

Record 20
VASP calculation (PBE) on a geometry-optimized MgTaNiSb structure.

Unit cell a=4.6349 b=4.6349 c=4.6349 alpha=60.00 beta=60.00 gamma=60.00
Fractional coordinates of all 4 atoms:
1 Sb 0.0000 0.0000 0.0000
2 Ta 0.5000 0.5000 0.5000
3 Mg 0.2500 0.2500 0.2500
4 Ni 0.7500 0.7500 0.7500

Calculated values
- space-group type = F-43m (216)
- spin magnetization (Bohr magnetons per cell) = 1.02
- final energy (eV per atom) = -5.27